Below is crystalline PrSnSb2 at its relaxed geometry, with properties calculated at the PBE level.

Cell: 4.401 5.074 5.074 Å, 90.00 90.00 90.00°
Fractional coordinates of all 4 atoms:
Sb 0.000 0.000 0.500
Sb 0.000 0.500 0.000
Pr 0.500 0.500 0.500
Sn 0.500 0.000 0.000

Output
The value obtained for the raw total energy is -4.770 eV/atom.